Entry 1:
# Rb2TaGaBr6 | Alexandria via LeMat-Bulk | GGA-PBE | optimized geometry
# total moment = 0.200 μB per atom
# energy relative to the elements, uncorrected = -1.041 eV/atom
# VASP energy = -3.726 eV/atom
data_Rb2TaGaBr6
_chemical_formula_sum 'Rb8 Ta4 Ga4 Br24'
_symmetry_space_group_name_H-M 'F m -3 m'
_symmetry_Int_Tables_number 225
_symmetry_space_group_name_Hall '-F 4 2 3'
_cell_length_a 11.265
_cell_length_b 11.265
_cell_length_c 11.265
_cell_angle_alpha 90.00
_cell_angle_beta 90.00
_cell_angle_gamma 90.00
loop_
_atom_site_label
_atom_site_fract_x
_atom_site_fract_y
_atom_site_fract_z
Rb1 0.250 0.250 0.250
Ta1 0.000 0.000 0.000
Ga1 0.000 0.000 0.500
Br1 0.000 0.000 0.234

Entry 2:
# Cs3HgH | Alexandria via LeMat-Bulk | GGA-PBE | optimized geometry
# total moment = 0.000 μB per atom
# VASP energy = -1.348 eV/atom
data_Cs3HgH
_chemical_formula_sum 'Cs3 Hg1 H1'
_symmetry_space_group_name_H-M 'P m -3 m'
_symmetry_Int_Tables_number 221
_symmetry_space_group_name_Hall '-P 4 2 3'
_cell_length_a 6.198
_cell_length_b 6.198
_cell_length_c 6.198
_cell_angle_alpha 90.00
_cell_angle_beta 90.00
_cell_angle_gamma 90.00
loop_
_atom_site_label
_atom_site_fract_x
_atom_site_fract_y
_atom_site_fract_z
Cs1 0.000 0.000 0.500
Hg1 0.500 0.500 0.500
H1 0.000 0.000 0.000

Entry 3:
# Ca2TbPr2 | Alexandria via LeMat-Bulk | GGA-PBE | optimized geometry
# total moment = 0.000 μB per atom
# ΔH_f (0 K) = 0.36 eV/atom
# VASP energy = -3.274 eV/atom
data_Ca2TbPr2
_chemical_formula_sum 'Ca4 Tb2 Pr4'
_symmetry_space_group_name_H-M 'I 4/m m m'
_symmetry_Int_Tables_number 139
_symmetry_space_group_name_Hall '-I 4 2'
_cell_length_a 4.658
_cell_length_b 4.658
_cell_length_c 17.651
_cell_angle_alpha 90.00
_cell_angle_beta 90.00
_cell_angle_gamma 90.00
loop_
_atom_site_label
_atom_site_fract_x
_atom_site_fract_y
_atom_site_fract_z
Ca1 0.000 0.500 0.250
Tb1 0.000 0.000 0.000
Pr1 0.000 0.000 0.412

Entry 4:
# Dy2GaHRh6 | Alexandria via LeMat-Bulk | GGA-PBE | optimized geometry
# total moment = 0.000 μB per atom
# VASP energy = -6.486 eV/atom
data_Dy2GaHRh6
_chemical_formula_sum 'Dy4 Ga2 H2 Rh12'
_symmetry_space_group_name_H-M 'C 1 2/m 1'
_symmetry_Int_Tables_number 12
_cell_length_a 8.592
_cell_length_b 8.610
_cell_length_c 6.056
_cell_angle_alpha 90.00
_cell_angle_beta 134.66
_cell_angle_gamma 90.00
loop_
_symmetry_equiv_pos_as_xyz
'x,y,z'
'-x,-y,-z'
'-x,y,-z'
'x,-y,z'
'x+1/2,y+1/2,z'
'-x+1/2,-y+1/2,-z'
'-x+1/2,y+1/2,-z'
'x+1/2,-y+1/2,z'
loop_
_atom_site_label
_atom_site_fract_x
_atom_site_fract_y
_atom_site_fract_z
Dy1 0.000 0.248 0.000
Ga1 0.000 0.000 0.500
H1 0.000 0.500 0.500
Rh1 0.000 0.274 0.500
Rh2 0.224 0.500 0.497
Rh3 0.224 0.500 0.951